ErHfZnGa: optimized geometry, PBE.

Computed properties:
Crystal system: cubic
Formation enthalpy at 0 K in eV/atom: -0.33

Structure (CIF):
```
data_ErHfZnGa
_chemical_formula_sum 'Er4 Hf4 Zn4 Ga4'
_symmetry_space_group_name_H-M 'F -4 3 m'
_symmetry_Int_Tables_number 216
_symmetry_space_group_name_Hall 'F -4 2 3'
_cell_length_a 6.8254
_cell_length_b 6.8254
_cell_length_c 6.8254
_cell_angle_alpha 90.00
_cell_angle_beta 90.00
_cell_angle_gamma 90.00
loop_
_atom_site_label
_atom_site_type_symbol
_atom_site_fract_x
_atom_site_fract_y
_atom_site_fract_z
_atom_site_occupancy
Er1 Er 0.0000 0.0000 0.0000 1
Hf1 Hf 0.0000 0.0000 0.5000 1
Zn1 Zn 0.2500 0.2500 0.7500 1
Ga1 Ga 0.2500 0.2500 0.2500 1
```